No. 1
Compound: CoRhSe
Source: Alexandria
Functional: PBE
Structure: optimized geometry

```
CoRhSe
1.0
-2.2127 -1.7306 -2.8287
-1.4154 -3.6856 0.5528
-3.9012 -0.5692 0.5908
Co Se Rh
1 1 1
direct
0.0000 0.0000 0.0000
0.7500 0.7500 0.7500
0.5000 0.5000 0.5000
```

excess energy over the best structure of this formula in the dataset = 0 meV/atom
calculated volume = 14.93 Å³/atom
formation energy without anion corrections = 0.144 eV/f.u.

No. 2
Compound: NaTlZn2
Source: Alexandria
Functional: PBE
Structure: optimized geometry

```
NaTlZn2
1.0
-2.5539 -1.0768 -2.5650
2.6530 -1.9901 -1.8062
-1.4071 -5.0849 3.5357
Tl Na Zn
1 1 2
direct
0.5000 0.5000 0.5000
0.5000 0.5000 0.0000
0.0000 0.0000 0.2513
0.0000 0.0000 0.7487
```

calculated volume = 22.64 Å³/atom
energy relative to the elements = 2.62 kcal/mol of atoms

No. 3
Compound: YHoAlZn
Source: Alexandria
Functional: PBE
Structure: optimized geometry

```
YHoAlZn
1.0
-1.5491 2.6558 -1.8096
-3.2043 -1.1225 1.0956
0.4986 4.2540 5.8166
Ho Zn Al Y
1 1 1 1
direct
0.0000 0.0000 0.8624
0.5000 0.5000 0.1033
0.5000 0.5000 0.6096
0.0000 0.0000 0.3528
```

excess energy over the best structure of this formula in the dataset = 0 meV/atom
calculated volume = 22.98 Å³/atom
energy relative to the elements = -9.08 kcal/mol of atoms

No. 4
Compound: Zn3Pd2
Source: Alexandria
Functional: PBE
Structure: optimized geometry

```
Zn3Pd2
1.0
4.1071 0.0000 1.1268
1.8990 3.6417 1.1268
0.7877 0.4776 5.1774
Zn Pd
3 2
direct
0.0000 0.0000 0.0000
0.7984 0.7984 0.6048
0.2016 0.2016 0.3952
0.3977 0.3977 0.8069
0.6023 0.6023 0.1931
```

calculated volume = 14.60 Å³/atom
energy relative to the elements = -10.11 kcal/mol of atoms

Repeat the second record exactly.
Compound: NaTlZn2
Source: Alexandria
Functional: PBE
Structure: optimized geometry

```
NaTlZn2
1.0
-2.5539 -1.0768 -2.5650
2.6530 -1.9901 -1.8062
-1.4071 -5.0849 3.5357
Tl Na Zn
1 1 2
direct
0.5000 0.5000 0.5000
0.5000 0.5000 0.0000
0.0000 0.0000 0.2513
0.0000 0.0000 0.7487
```

calculated volume = 22.64 Å³/atom
energy relative to the elements = 2.62 kcal/mol of atoms